Record 1
# Sr2ErZnO5, optimized geometry, DFT PBE
# Crystal system: orthorhombic
# E_tot in eV/atom: -6.242
# Uncorrected formation energy in meV/atom: -2466
# Size of the total moment in μB/atom: 0.112
data_Sr2ErZnO5
_cell_length_a 3.4415
_cell_length_b 14.3312
_cell_length_c 10.6003
_cell_angle_alpha 90.00
_cell_angle_beta 90.00
_cell_angle_gamma 90.00
_symmetry_space_group_name_H-M 'C m c 21'
_symmetry_Int_Tables_number 36
loop_
_symmetry_equiv_pos_as_xyz
'x,y,z'
'-x,-y,z+1/2'
'-x,y,z'
'x,-y,z+1/2'
'x+1/2,y+1/2,z'
'-x+1/2,-y+1/2,z+1/2'
'-x+1/2,y+1/2,z'
'x+1/2,-y+1/2,z+1/2'
loop_
_atom_site_label
_atom_site_fract_x
_atom_site_fract_y
_atom_site_fract_z
_atom_site_occupancy
Sr1 0.0000 0.1149 0.0000 1
Sr2 0.0000 0.1292 0.5980 1
Er1 0.0000 0.2098 0.3065 1
Zn1 0.0000 0.4936 0.7793 1
O1 0.0000 0.0508 0.3469 1
O2 0.0000 0.2910 0.9488 1
O3 0.0000 0.3016 0.6692 1
O4 0.0000 0.3646 0.3093 1
O5 0.0000 0.4994 0.5932 1

Record 2
# ErTa3O9, optimized geometry, DFT PBE
# Crystal system: monoclinic
# E_tot in eV/atom: -9.558
# Uncorrected formation energy in meV/atom: -3039
# Size of the total moment in μB/atom: 0.000
# Distance to the lowest polymorph of the same formula in eV per atom: 0.0000
data_ErTa3O9
_cell_length_a 5.2703
_cell_length_b 7.4960
_cell_length_c 8.3052
_cell_angle_alpha 90.00
_cell_angle_beta 92.49
_cell_angle_gamma 90.00
_symmetry_space_group_name_H-M 'P 1 21/m 1'
_symmetry_Int_Tables_number 11
loop_
_symmetry_equiv_pos_as_xyz
'x,y,z'
'-x,-y,-z'
'-x,y+1/2,-z'
'x,-y+1/2,z'
loop_
_atom_site_label
_atom_site_fract_x
_atom_site_fract_y
_atom_site_fract_z
_atom_site_occupancy
Er1 0.0340 0.2500 0.4346 1
Ta1 0.0000 0.0000 0.0000 1
Ta2 0.4710 0.0073 0.6960 1
O1 0.0987 0.2500 0.9775 1
O2 0.1468 0.5661 0.7838 1
O3 0.2562 0.5446 0.4673 1
O4 0.3269 0.5549 0.1203 1
O5 0.3312 0.2500 0.6524 1
O6 0.4189 0.2500 0.3144 1

Record 3
# ErTa3O9, optimized geometry, DFT PBE
# Crystal system: orthorhombic
# E_tot in eV/atom: -9.533
# Uncorrected formation energy in meV/atom: -3015
# Size of the total moment in μB/atom: 0.000
# Distance to the lowest polymorph of the same formula in eV per atom: 0.0243
data_ErTa3O9
_cell_length_a 6.4386
_cell_length_b 7.6192
_cell_length_c 12.5721
_cell_angle_alpha 90.00
_cell_angle_beta 90.00
_cell_angle_gamma 90.00
_symmetry_space_group_name_H-M 'P n m a'
_symmetry_Int_Tables_number 62
loop_
_symmetry_equiv_pos_as_xyz
'x,y,z'
'-x,-y,-z'
'-x+1/2,-y,z+1/2'
'x+1/2,y,-z+1/2'
'x+1/2,-y+1/2,-z+1/2'
'-x+1/2,y+1/2,z+1/2'
'-x,y+1/2,-z'
'x,-y+1/2,z'
loop_
_atom_site_label
_atom_site_fract_x
_atom_site_fract_y
_atom_site_fract_z
_atom_site_occupancy
Er1 0.0589 0.2500 0.0353 1
Ta1 0.0000 0.0000 0.5000 1
Ta2 0.1972 0.0025 0.7882 1
O1 0.0099 0.0468 0.6575 1
O2 0.0761 0.7500 0.5279 1
O3 0.1113 0.0412 0.1687 1
O4 0.1525 0.2500 0.8339 1
O5 0.1984 0.7500 0.8096 1
O6 0.2023 0.5327 0.9654 1

Record 4
# Er6TaO12, optimized geometry, DFT PBE
# Crystal system: trigonal
# E_tot in eV/atom: -8.613
# Uncorrected formation energy in meV/atom: -3417
# Size of the total moment in μB/atom: 0.060
data_Er6TaO12
_cell_length_a 9.7579
_cell_length_b 9.7579
_cell_length_c 9.2679
_cell_angle_alpha 90.00
_cell_angle_beta 90.00
_cell_angle_gamma 120.00
_symmetry_space_group_name_H-M 'R -3'
_symmetry_Int_Tables_number 148
_symmetry_space_group_name_Hall '-R 3'
loop_
_atom_site_label
_atom_site_fract_x
_atom_site_fract_y
_atom_site_fract_z
_atom_site_occupancy
Er1 0.0478 0.2598 0.1488 1
Ta1 0.0000 0.0000 0.5000 1
O1 0.0357 0.2218 0.8998 1
O2 0.0382 0.1930 0.3878 1

Q: Among the records above, which one has the highest size of the total moment?
A: Sr2ErZnO5

Q: uncorrected formation energy of number 1 (Sr2ErZnO5)?
A: -2466 meV/atom

Repeat the third record exactly.
# ErTa3O9, optimized geometry, DFT PBE
# Crystal system: orthorhombic
# E_tot in eV/atom: -9.533
# Uncorrected formation energy in meV/atom: -3015
# Size of the total moment in μB/atom: 0.000
# Distance to the lowest polymorph of the same formula in eV per atom: 0.0243
data_ErTa3O9
_cell_length_a 6.4386
_cell_length_b 7.6192
_cell_length_c 12.5721
_cell_angle_alpha 90.00
_cell_angle_beta 90.00
_cell_angle_gamma 90.00
_symmetry_space_group_name_H-M 'P n m a'
_symmetry_Int_Tables_number 62
loop_
_symmetry_equiv_pos_as_xyz
'x,y,z'
'-x,-y,-z'
'-x+1/2,-y,z+1/2'
'x+1/2,y,-z+1/2'
'x+1/2,-y+1/2,-z+1/2'
'-x+1/2,y+1/2,z+1/2'
'-x,y+1/2,-z'
'x,-y+1/2,z'
loop_
_atom_site_label
_atom_site_fract_x
_atom_site_fract_y
_atom_site_fract_z
_atom_site_occupancy
Er1 0.0589 0.2500 0.0353 1
Ta1 0.0000 0.0000 0.5000 1
Ta2 0.1972 0.0025 0.7882 1
O1 0.0099 0.0468 0.6575 1
O2 0.0761 0.7500 0.5279 1
O3 0.1113 0.0412 0.1687 1
O4 0.1525 0.2500 0.8339 1
O5 0.1984 0.7500 0.8096 1
O6 0.2023 0.5327 0.9654 1